This record from the Alexandria database describes a relaxed Dy2Y3Cu3 crystal. The functional is PBE.

a b c (Å): 10.9093 10.9093 10.9093
angles (deg): 161.29 152.90 33.14
Closest atoms and distances in Å follow each position.
Sites, in units of the cell vectors:
Dy1 0.2261 0.2261 0.0000  2 Cu 2.92, 4 Dy 3.27
Dy2 0.7739 0.7739 0.0000  2 Cu 2.92, 4 Dy 3.27
Y1 0.0000 0.0000 0.0000  8 Cu 2.99-3.11
Y2 0.3839 0.8839 0.5000  6 Cu 3.01-3.11
Y3 0.6161 0.1161 0.5000  6 Cu 3.01-3.11
Cu1 0.1152 0.6152 0.5000  2 Dy 2.92, 6 Y 2.99-3.11
Cu2 0.5000 0.5000 0.0000  8 Y 3.01-3.11
Cu3 0.8848 0.3848 0.5000  2 Dy 2.92, 6 Y 2.99-3.11

Calculated values
As for the total energy: -5.260 eV/atom. Its formation enthalpy at 0 K is -149.8 meV/atom. The value obtained for the total magnetization is 0.00 μB/f.u. As for the space group: Immm, No. 71. The density is 6.85 g/cm³. The value obtained for the density of states at the Fermi level is 0.91 states/eV per atom.

This record from the Alexandria database describes a relaxed DyY2Cu crystal. The functional is PBE.

a b c (Å): 4.9772 7.4622 6.3492
angles (deg): 90.00 113.02 90.00
Closest atoms and distances in Å follow each position.
Sites, in units of the cell vectors:
Dy1 0.0431 0.2500 0.0862  1 Cu 2.80
Dy2 0.9569 0.7500 0.9138  1 Cu 2.80
Y1 0.3519 0.0289 0.7035  3 Cu 2.76-3.04
Y2 0.3519 0.4711 0.7035  3 Cu 2.76-3.04
Y3 0.6481 0.5289 0.2965  3 Cu 2.76-3.04
Y4 0.6481 0.9711 0.2965  3 Cu 2.76-3.04
Cu1 0.1951 0.7500 0.3926  6 Y 2.76-3.04, 1 Dy 2.80
Cu2 0.8049 0.2500 0.6074  6 Y 2.76-3.04, 1 Dy 2.80

Calculated values
As for the total energy: -5.468 eV/atom. Its formation enthalpy at 0 K is -61.5 meV/atom. The value obtained for the total magnetization is 0.00 μB/f.u. As for the space group: P2_1/m, No. 11. The density is 6.18 g/cm³. Its energy above the lowest structure with this stoichiometry is 0.192 eV per formula unit. The value obtained for the density of states at the Fermi level is 1.35 states/eV per atom.

This record from the Alexandria database describes a relaxed DyYCu crystal. The functional is PBE.

a b c (Å): 6.6769 6.6769 6.9547
angles (deg): 105.10 105.10 30.17
Closest atoms and distances in Å follow each position.
Sites, in units of the cell vectors:
Dy1 0.1397 0.1397 0.0701  4 Cu 2.98
Dy2 0.8603 0.8603 0.9299  4 Cu 2.98
Y1 0.1380 0.1380 0.5688  4 Cu 3.02-3.03
Y2 0.8620 0.8620 0.4312  4 Cu 3.02-3.03
Cu1 0.4996 0.4996 0.2424  4 Dy 2.98, 4 Y 3.02-3.03
Cu2 0.5004 0.5004 0.7576  4 Dy 2.98, 4 Y 3.02-3.03

Calculated values
As for the total energy: -5.183 eV/atom. Its formation enthalpy at 0 K is -129.4 meV/atom. The value obtained for the total magnetization is 0.30 μB/f.u. As for the space group: C2/m, No. 12. The density is 6.97 g/cm³. Its energy above the lowest structure with this stoichiometry is 0.123 eV per formula unit. The value obtained for the density of states at the Fermi level is 1.34 states/eV per atom.

This record from the Alexandria database describes a relaxed Dy4YCu5 crystal. The functional is PBE.

a b c (Å): 3.4534 3.4534 17.5043
angles (deg): 90.00 90.00 90.00
Closest atoms and distances in Å follow each position.
Sites, in units of the cell vectors:
Dy1 0.0000 0.0000 0.0999  8 Cu 3.00-3.01
Dy2 0.0000 0.0000 0.2996  8 Cu 3.00
Dy3 0.0000 0.0000 0.7004  8 Cu 3.00
Dy4 0.0000 0.0000 0.9001  8 Cu 3.00-3.01
Y1 0.0000 0.0000 0.5000  8 Cu 3.02
Cu1 0.5000 0.5000 0.0000  8 Dy 3.00
Cu2 0.5000 0.5000 0.2000  8 Dy 3.00-3.01
Cu3 0.5000 0.5000 0.3987  4 Dy 3.00, 4 Y 3.02
Cu4 0.5000 0.5000 0.6013  4 Dy 3.00, 4 Y 3.02
Cu5 0.5000 0.5000 0.8000  8 Dy 3.00-3.01

Calculated values
As for the total energy: -4.790 eV/atom. Its formation enthalpy at 0 K is -254.5 meV/atom. The value obtained for the total magnetization is 0.00 μB/f.u. As for the space group: P4/mmm, No. 123. The density is 8.41 g/cm³. The value obtained for the density of states at the Fermi level is 0.38 states/eV per atom.